Record 1
A relaxed VTePtI2 crystal, computed with PBE.

Summary:
The formation energy from raw total energies comes out at 0.79 eV/atom. For the total energy, the calculation gives -17.4 eV per cell. As for the total magnetization: 0.0001 μB/atom. As for the energy above the lowest structure with this stoichiometry: 0.00 eV per formula unit. Its crystal system is tetragonal. For the density, the calculation gives 7.3 Mg/m³.

Lattice parameters (Å, degrees): 5.1371 5.1371 5.3820 90.00 90.00 90.00
Closest atoms and distances in Å follow each position.
Atoms (fractional coordinates):
I: 0.0000 0.5000 0.0000  2 V 2.57
I: 0.5000 0.0000 0.0000  2 V 2.57
Te: 0.0000 0.0000 0.5000  2 V 2.69
Pt: 0.5000 0.5000 0.5000  4 Te 3.63, 8 I 3.72
V: 0.0000 0.0000 0.0000  4 I 2.57, 2 Te 2.69

Record 2
A relaxed Pr2SmIn4 crystal, computed with PBE.

Summary:
The formation energy comes out at -0.317 eV/atom. For the total energy, the calculation gives -27.5 eV per cell. As for the total magnetization: 0.0000 μB/atom. As for the energy above the lowest structure with this stoichiometry: 0.81 eV per formula unit. Its crystal system is tetragonal. For the density, the calculation gives 6.8 Mg/m³.

Lattice parameters (Å, degrees): 5.3703 5.3703 8.4502 108.53 108.53 90.00
Closest atoms and distances in Å follow each position.
Atoms (fractional coordinates):
Pr: 0.7463 0.7463 0.4926  8 In 3.37-3.44
Pr: 0.2537 0.2537 0.5074  8 In 3.37-3.44
Sm: 0.0000 0.0000 0.0000  8 In 3.17
In: 0.3887 0.8887 0.7773  2 Sm 3.17, 1 In 3.36, 4 Pr 3.37-3.44
In: 0.8887 0.3887 0.7773  2 Sm 3.17, 1 In 3.36, 4 Pr 3.37-3.44
In: 0.6113 0.1113 0.2227  2 Sm 3.17, 1 In 3.36, 4 Pr 3.37-3.44
In: 0.1113 0.6113 0.2227  2 Sm 3.17, 1 In 3.36, 4 Pr 3.37-3.44

Record 3
A relaxed KSrEu crystal, computed with PBE.

Summary:
The formation energy comes out at 0.099 eV/atom. For the total energy, the calculation gives -12.8 eV per cell. As for the total magnetization: 2.4919 μB/atom. As for the energy above the lowest structure with this stoichiometry: 0.00 eV per formula unit. Its crystal system is trigonal. For the density, the calculation gives 2.8 Mg/m³.

Lattice parameters (Å, degrees): 4.2009 4.2009 10.8583 90.00 90.00 120.00
Closest atoms and distances in Å follow each position.
Atoms (fractional coordinates):
Eu: 0.3333 0.6667 0.6543  3 Sr 4.10, 6 Eu 4.20, 3 K 4.43
Sr: 0.6667 0.3333 0.3495  3 Eu 4.10, 6 Sr 4.20, 3 K 4.54
K: 0.0000 0.0000 0.9962  6 K 4.20, 3 Eu 4.43, 3 Sr 4.54

Record 4
A relaxed CePmTc4 crystal, computed with PBE.

Summary:
The formation energy comes out at 0.001 eV/atom. For the total energy, the calculation gives -52.1 eV per cell. As for the total magnetization: 0.0001 μB/atom. Its crystal system is cubic. For the density, the calculation gives 9.8 Mg/m³.

Lattice parameters (Å, degrees): 5.4518 5.4518 5.4518 60.00 60.00 60.00
Closest atoms and distances in Å follow each position.
Atoms (fractional coordinates):
Tc: 0.6250 0.6250 0.1249  6 Tc 2.73
Tc: 0.6250 0.1249 0.6250  6 Tc 2.73
Tc: 0.6250 0.6250 0.6250  6 Tc 2.73
Tc: 0.1249 0.6250 0.6250  6 Tc 2.73
Ce: 0.2500 0.2500 0.2500  12 Tc 3.20, 4 Pm 3.34
Pm: 0.0000 0.0000 0.0000  12 Tc 3.20, 4 Ce 3.34

Record 5
A relaxed KAl2Cl crystal, computed with PBE.

Summary:
The formation energy from raw total energies comes out at 0.22 eV/atom. For the total energy, the calculation gives -9.5 eV per cell. As for the total magnetization: 0.0000 μB/atom. As for the energy above the lowest structure with this stoichiometry: 2.68 eV per formula unit. Its crystal system is tetragonal. For the density, the calculation gives 2.1 Mg/m³.

Lattice parameters (Å, degrees): 3.2310 3.2310 9.7271 90.00 90.00 90.00
Closest atoms and distances in Å follow each position.
Atoms (fractional coordinates):
K: 0.5000 0.5000 0.7500  4 K 3.23, 8 Al 3.61
Al: 0.0000 0.0000 0.0375  4 Cl 3.08, 4 Al 3.23
Al: 0.0000 0.0000 0.4625  4 Cl 3.08, 4 Al 3.23
Cl: 0.5000 0.5000 0.2500  8 Al 3.08, 4 Cl 3.23

Record 6
A relaxed Tb4Tm2Cd crystal, computed with PBE.

Summary:
The formation energy comes out at 0.036 eV/atom. For the total energy, the calculation gives -28.1 eV per cell. As for the total magnetization: 0.0000 μB/atom. Its crystal system is monoclinic. For the density, the calculation gives 8.4 Mg/m³.

Lattice parameters (Å, degrees): 3.4792 8.4526 8.3807 116.76 101.98 90.00
Closest atoms and distances in Å follow each position.
Atoms (fractional coordinates):
Tb: 0.9178 0.2968 0.8356  5 Tb 3.25-3.53, 3 Tm 3.32-3.40, 1 Cd 3.35
Tb: 0.0822 0.7032 0.1644  5 Tb 3.25-3.53, 3 Tm 3.32-3.40, 1 Cd 3.35
Tb: 0.6320 0.3942 0.2640  8 Tb 3.48-3.85, 2 Cd 3.49, 3 Tm 3.52-3.56
Tb: 0.3680 0.6058 0.7360  8 Tb 3.48-3.85, 2 Cd 3.49, 3 Tm 3.52-3.56
Tm: 0.7825 0.8599 0.5649  1 Cd 3.20, 6 Tb 3.32-3.56, 4 Tm 3.48
Tm: 0.2175 0.1401 0.4351  1 Cd 3.20, 6 Tb 3.32-3.56, 4 Tm 3.48
Cd: 0.0000 0.0000 0.0000  2 Tm 3.20, 6 Tb 3.35-3.49, 2 Cd 3.48

Record 7
A relaxed Pr2IrPd crystal, computed with PBE.

Summary:
The formation energy comes out at -0.656 eV/atom. For the total energy, the calculation gives -26.2 eV per cell. As for the total magnetization: 0.0000 μB/atom. As for the energy above the lowest structure with this stoichiometry: 0.25 eV per formula unit. Its crystal system is cubic. For the density, the calculation gives 10.3 Mg/m³.

Lattice parameters (Å, degrees): 5.0966 5.0966 5.0966 60.00 60.00 60.00
Closest atoms and distances in Å follow each position.
Atoms (fractional coordinates):
Pr: 0.2500 0.2500 0.2500  4 Ir 3.12, 4 Pd 3.12
Pr: 0.7500 0.7500 0.7500  4 Pd 3.12, 4 Ir 3.12
Ir: 0.5000 0.5000 0.5000  8 Pr 3.12
Pd: 0.0000 0.0000 0.0000  8 Pr 3.12

Record 8
A relaxed Na6NF12 crystal, computed with PBE.

Summary:
The formation energy from raw total energies comes out at -1.66 eV/atom. For the total energy, the calculation gives -70.3 eV per cell. As for the total magnetization: 0.1592 μB/atom. Its crystal system is trigonal. For the density, the calculation gives 2.5 Mg/m³.

Lattice parameters (Å, degrees): 6.3958 6.3958 6.3958 97.30 97.30 97.30
Closest atoms and distances in Å follow each position.
Atoms (fractional coordinates):
Na: 0.7150 0.8466 0.3872  5 F 2.25-2.46
Na: 0.6128 0.2850 0.1534  5 F 2.25-2.46
Na: 0.1534 0.6128 0.2850  5 F 2.25-2.46
Na: 0.2850 0.1534 0.6128  5 F 2.25-2.46
Na: 0.3872 0.7150 0.8466  5 F 2.25-2.46
Na: 0.8466 0.3872 0.7150  5 F 2.25-2.46
N: 0.0000 0.0000 0.0000  6 F 1.73
F: 0.8390 0.5354 0.4092  4 Na 2.25-2.34, 1 F 2.36
F: 0.4092 0.8390 0.5354  4 Na 2.25-2.34, 1 F 2.36
F: 0.5354 0.4092 0.8390  4 Na 2.25-2.34, 1 F 2.36
F: 0.1610 0.4646 0.5908  4 Na 2.25-2.34, 1 F 2.36
F: 0.5908 0.1610 0.4646  4 Na 2.25-2.34, 1 F 2.36
F: 0.4646 0.5908 0.1610  4 Na 2.25-2.34, 1 F 2.36
F: 0.0495 0.9880 0.2696  1 N 1.73
F: 0.0120 0.7304 0.9505  1 N 1.73
F: 0.7304 0.9505 0.0120  1 N 1.73
F: 0.9505 0.0120 0.7304  1 N 1.73
F: 0.9880 0.2696 0.0495  1 N 1.73
F: 0.2696 0.0495 0.9880  1 N 1.73

Record 9
A relaxed As3RhBr crystal, computed with PBE.

Summary:
The formation energy from raw total energies comes out at 1.52 eV/atom. For the total energy, the calculation gives -15.4 eV per cell. As for the total magnetization: 0.0000 μB/atom. As for the energy above the lowest structure with this stoichiometry: 5.21 eV per formula unit. Its crystal system is cubic. For the density, the calculation gives 5.6 Mg/m³.

Lattice parameters (Å, degrees): 4.9362 4.9362 4.9362 90.00 90.00 90.00
Closest atoms and distances in Å follow each position.
Atoms (fractional coordinates):
As: 0.0000 0.5000 0.0000  2 Br 2.47
As: 0.0000 0.0000 0.5000  2 Br 2.47
As: 0.5000 0.0000 0.0000  2 Br 2.47
Rh: 0.5000 0.5000 0.5000  12 As 3.49
Br: 0.0000 0.0000 0.0000  6 As 2.47

Record 10
A relaxed KAcC2N4 crystal, computed with PBE.

Summary:
The formation energy from raw total energies comes out at -0.65 eV/atom. For the total energy, the calculation gives -62.2 eV per cell. As for the total magnetization: 0.0000 μB/atom. Its crystal system is tetragonal. For the density, the calculation gives 4.8 Mg/m³.

Lattice parameters (Å, degrees): 5.9056 5.3972 5.3972 66.33 56.83 56.83
Closest atoms and distances in Å follow each position.
Atoms (fractional coordinates):
K: 0.0000 0.0000 0.0000  8 N 2.83
Ac: 0.5000 0.5000 0.5000  8 N 2.83
C: 0.2501 0.2499 0.2499  2 N 1.24
C: 0.7499 0.7501 0.7501  2 N 1.24
N: 0.3985 0.1014 0.3984  1 C 1.24
N: 0.8982 0.8986 0.6016  1 C 1.24
N: 0.1017 0.3984 0.1014  1 C 1.24
N: 0.6015 0.6016 0.8986  1 C 1.24